Pu2B3PdPt12: relaxed, GGA-PBE.

Output
As for the crystal system: trigonal. Its total moment is 9.38 μB per formula unit. The calculation puts the formation energy at -22.01 kJ per mole of atoms. As for the space group: No. 166.

a = 7.258 Å, b = 7.258 Å, c = 7.258 Å
α = 67.09°, β = 67.09°, γ = 67.09°
Element x y z (fractional)
Pu1 0.103 0.103 0.103
Pu2 0.897 0.897 0.897
B1 0.000 0.500 0.500
B2 0.500 0.000 0.500
B3 0.500 0.500 0.000
Pd1 0.500 0.500 0.500
Pt1 0.107 0.636 0.636
Pt2 0.174 0.174 0.591
Pt3 0.174 0.591 0.174
Pt4 0.364 0.364 0.893
Pt5 0.364 0.893 0.364
Pt6 0.409 0.826 0.826
Pt7 0.591 0.174 0.174
Pt8 0.636 0.107 0.636
Pt9 0.636 0.636 0.107
Pt10 0.826 0.409 0.826
Pt11 0.826 0.826 0.409
Pt12 0.893 0.364 0.364